A plane-wave DFT calculation with PBE-GGA was carried out for a relaxed Nb14GaRh crystal.

Output
formation energy: -0.1143 eV per atom
DOS(E_F): 16.64 states/eV/f.u.
symmetry: Cmmm, No. 65
V: 285.7 Å³/f.u.
crystal system: orthorhombic
spin magnetization: 0.00 μB/f.u.
final energy: -9.574 eV per atom

a b c (Å): 5.718 5.718 9.179
angles (deg): 90.00 90.00 107.78
Atoms (fractional coordinates):
Nb 0.125 0.875 0.000
Nb 0.625 0.375 0.000
Nb 0.125 0.375 0.500
Nb 0.125 0.375 0.000
Nb 0.625 0.875 0.500
Nb 0.625 0.875 0.000
Nb 0.367 0.117 0.746
Nb 0.367 0.117 0.254
Nb 0.883 0.633 0.746
Nb 0.883 0.633 0.254
Nb 0.380 0.620 0.743
Nb 0.380 0.620 0.257
Nb 0.870 0.130 0.743
Nb 0.870 0.130 0.257
Ga 0.625 0.375 0.500
Rh 0.125 0.875 0.500